This record from the Alexandria database describes crystalline K3ErTh2Se6 at its relaxed geometry. The functional is PBE-GGA.

abc: 7.3110 7.3110 8.1686
angles: 98.58 98.58 120.00
Fractional positions:
K  0.0000  0.0000  0.0000
K  0.3320  0.6680  0.0000
K  0.6680  0.3320  0.0000
Er  0.5000  0.5000  0.5000
Th  0.1664  0.8336  0.5000
Th  0.8336  0.1664  0.5000
Se  0.1029  0.4291  0.2871
Se  0.2454  0.2454  0.7134
Se  0.4291  0.1029  0.2871
Se  0.5709  0.8971  0.7129
Se  0.7546  0.7546  0.2866
Se  0.8971  0.5709  0.7129

- ρ (kg/m³) = 5624
- raw total energy (eV/atom) = -5.2335
- ΔE_f (raw) (eV per atom) = -1.60